DFT (PBE-GGA) results for a relaxed Ba2HgGe crystal.

## Properties
formation energy from the elements: -56.3 meV per atom
size of the total moment: 0.000 μB per formula unit
SG: I-42d
total energy: -2.2475 eV/atom

Cell: 6.378 6.378 10.621 Å, 72.53 72.53 90.00°
Fractional coordinates of all 8 atoms:
Ge 0.500 0.500 0.000
Ge 0.250 0.750 0.500
Hg 0.000 0.000 0.000
Hg 0.750 0.250 0.500
Ba 0.599 0.125 0.250
Ba 0.151 0.625 0.250
Ba 0.375 0.401 0.750
Ba 0.875 0.849 0.750


DFT (PBE-GGA) results for a relaxed PmTaSb2 crystal.

## Properties
uncorrected formation energy: -0.19 eV per atom
size of the total moment: 0.000 μB per formula unit
SG: Fm-3m
total energy: -6.4064 eV/atom

Cell: 5.117 5.117 5.117 Å, 60.00 60.00 60.00°
Fractional coordinates of all 4 atoms:
Sb 0.250 0.250 0.250
Sb 0.750 0.750 0.750
Pm 0.000 0.000 0.000
Ta 0.500 0.500 0.500


DFT (PBE-GGA) results for a relaxed LiCd3Hg crystal.

## Properties
formation energy from the elements: 168.5 meV per atom
size of the total moment: 0.000 μB per formula unit
SG: Pm-3m
total energy: -0.8237 eV/atom

Cell: 5.087 5.087 5.087 Å, 90.00 90.00 90.00°
Fractional coordinates of all 5 atoms:
Li 0.000 0.000 0.000
Hg 0.500 0.500 0.500
Cd 0.000 0.500 0.000
Cd 0.000 0.000 0.500
Cd 0.500 0.000 0.000